A relaxed structure of As2PPt. Source: the Alexandria database, functional PBE.

Cell lengths 4.4830, 4.4830, 4.4793 Å; angles 109.31, 109.31, 109.79 degrees
Last column: nearest neighbours and their distance in Å.
Sites, in units of the cell vectors:
Pt1 0.0000 0.5000 0.5000  2 P 2.58, 4 As 2.59
P1 0.5000 0.0000 0.5000  2 Pt 2.58, 4 As 2.59
As1 0.0000 0.0000 0.0000  2 As 2.58, 2 Pt 2.59, 2 P 2.59
As2 0.5000 0.5000 0.0000  2 As 2.58, 2 P 2.59, 2 Pt 2.59

Results
- Calculated volume: 17.32 Å³/atom
- Formation enthalpy at 0 K: -0.0429 eV per atom
- Total DFT energy (no corrections): -5.230 eV per atom
- Crystal system: tetragonal
- Symmetry: I4/mmm, No. 139